[1]
ZrTaZn4 at its PBEsol-relaxed geometry. Source: Alexandria, functional meta-GGA SCAN. Values from VASP.

ΔH_f (0 K) = -1.41 eV/f.u.
Calculated volume = 91.0 Å³ per cell

Geometry as Quantum ESPRESSO input:
```
&SYSTEM
  ibrav = 0, nat = 6, ntyp = 3
/
ATOMIC_SPECIES
Zr 91.22 Zr.upf
Ta 180.95 Ta.upf
Zn 65.41 Zn.upf
CELL_PARAMETERS angstrom
0.000 3.571 3.571
3.571 0.000 3.571
3.571 3.571 0.000
ATOMIC_POSITIONS angstrom
Zr 0.000 0.000 0.000
Ta 5.356 5.356 5.356
Zn 2.681 2.681 2.681
Zn 4.460 4.460 2.681
Zn 4.460 2.681 4.460
Zn 2.681 4.460 4.460
```

[2]
CsPCl2O at its PBEsol-relaxed geometry. Source: Alexandria, functional meta-GGA SCAN. Values from VASP.

VASP energy = -13.27 eV per atom
Calculated volume = 301.9 Å³ per cell

Geometry as Quantum ESPRESSO input:
```
&SYSTEM
  ibrav = 0, nat = 5, ntyp = 4
/
ATOMIC_SPECIES
Cs 132.91 Cs.upf
P 30.97 P.upf
Cl 35.45 Cl.upf
O 16.00 O.upf
CELL_PARAMETERS angstrom
6.235 0.000 0.000
0.000 6.235 0.000
0.000 0.000 7.764
ATOMIC_POSITIONS angstrom
Cs 0.000 0.000 0.000
P 0.000 0.000 3.882
Cl 0.000 3.118 0.000
Cl 3.118 0.000 0.000
O 3.118 3.118 3.882
```

[3]
As2Se2Br at its PBEsol-relaxed geometry. Source: Alexandria, functional meta-GGA SCAN. Values from VASP.

VASP energy = -19.99 eV per atom
Calculated volume = 233.4 Å³ per cell

Geometry as Quantum ESPRESSO input:
```
&SYSTEM
  ibrav = 0, nat = 10, ntyp = 3
/
ATOMIC_SPECIES
As 74.92 As.upf
Se 78.96 Se.upf
Br 79.90 Br.upf
CELL_PARAMETERS angstrom
8.115 0.000 0.000
0.000 8.115 0.000
0.000 0.000 3.544
ATOMIC_POSITIONS angstrom
As 1.743 2.314 0.000
As 2.314 6.372 0.000
As 5.801 1.743 0.000
As 6.372 5.801 0.000
Se 1.135 5.193 1.772
Se 2.922 1.135 1.772
Se 5.193 6.980 1.772
Se 6.980 2.922 1.772
Br 0.000 0.000 0.000
Br 4.058 4.058 0.000
```

[4]
Li2NiPCO7 at its PBEsol-relaxed geometry. Source: Alexandria, functional meta-GGA SCAN. Values from VASP.

VASP energy = -9.07 eV per atom
Calculated volume = 250.9 Å³ per cell

Geometry as Quantum ESPRESSO input:
```
&SYSTEM
  ibrav = 0, nat = 24, ntyp = 5
/
ATOMIC_SPECIES
Li 6.94 Li.upf
Ni 58.69 Ni.upf
P 30.97 P.upf
C 12.01 C.upf
O 16.00 O.upf
CELL_PARAMETERS angstrom
4.958 0.000 0.000
0.000 6.107 0.000
-0.461 0.000 8.286
ATOMIC_POSITIONS angstrom
Li 0.929 0.047 2.203
Li 0.929 3.006 2.203
Li 3.569 3.101 6.083
Li 3.569 6.060 6.083
Ni 0.709 4.580 6.971
Ni 3.789 1.527 1.314
P 1.019 1.527 7.674
P 3.479 4.580 0.612
C 1.167 4.580 4.596
C 3.331 1.527 3.690
O 0.003 4.580 5.219
O 0.819 1.527 0.774
O 0.576 0.335 6.801
O 0.576 2.719 6.801
O 1.241 4.580 3.343
O 1.924 4.580 0.416
O 2.167 4.580 5.414
O 2.330 1.527 2.872
O 2.573 1.527 7.870
O 3.257 1.527 4.943
O 3.922 3.389 1.485
O 3.922 5.772 1.485
O 3.678 4.580 7.512
O 4.495 1.527 3.067
```

[5]
ScMn2WAu at its PBEsol-relaxed geometry. Source: Alexandria, functional meta-GGA SCAN. Values from VASP.

ΔH_f (0 K) = 4.64 eV/f.u.
Calculated volume = 100.3 Å³ per cell

Geometry as Quantum ESPRESSO input:
```
&SYSTEM
  ibrav = 0, nat = 5, ntyp = 4
/
ATOMIC_SPECIES
Sc 44.96 Sc.upf
Mn 54.94 Mn.upf
W 183.84 W.upf
Au 196.97 Au.upf
CELL_PARAMETERS angstrom
4.471 0.000 0.000
0.000 4.471 0.000
0.000 0.000 5.017
ATOMIC_POSITIONS angstrom
Sc 0.000 0.000 0.000
Mn 0.000 2.236 2.508
Mn 2.236 0.000 2.508
W 0.000 0.000 2.508
Au 2.236 2.236 0.000
```

[6]
K4AsH5S3O16 at its PBEsol-relaxed geometry. Source: Alexandria, functional meta-GGA SCAN. Values from VASP.

VASP energy = -8.55 eV per atom
Calculated volume = 789.9 Å³ per cell

Geometry as Quantum ESPRESSO input:
```
&SYSTEM
  ibrav = 0, nat = 58, ntyp = 5
/
ATOMIC_SPECIES
K 39.10 K.upf
As 74.92 As.upf
H 1.01 H.upf
S 32.06 S.upf
O 16.00 O.upf
CELL_PARAMETERS angstrom
8.890 0.000 0.000
4.230 9.152 0.000
4.270 1.614 9.709
ATOMIC_POSITIONS angstrom
K 2.126 0.394 0.029
K 4.944 5.411 0.946
K 7.803 9.101 3.875
K 6.579 5.177 4.953
K 10.811 5.589 4.756
K 9.588 1.665 5.834
K 12.447 5.356 8.763
K 15.264 10.372 9.680
As 10.717 8.632 6.986
As 6.673 2.134 2.723
H 6.995 5.124 8.251
H 8.859 8.478 8.394
H 4.450 2.791 2.470
H 8.689 7.761 6.125
H 6.149 2.028 6.282
H 11.241 8.738 3.427
H 8.701 3.005 3.583
H 12.940 7.975 7.239
H 8.531 2.288 1.315
H 10.396 5.642 1.458
S 6.536 7.613 7.503
S 4.099 2.782 6.651
S 8.988 4.269 7.918
S 8.402 6.497 1.791
S 13.291 7.984 3.057
S 10.854 3.153 2.205
O 4.255 2.645 8.110
O 6.026 6.251 7.796
O 3.427 1.618 6.065
O 7.460 8.070 8.576
O 5.008 6.705 3.429
O 3.108 2.204 2.282
O 7.257 7.587 6.198
O 5.537 2.863 6.022
O 7.532 4.299 8.551
O 9.870 8.717 8.496
O 5.380 3.263 2.568
O 7.906 7.812 1.386
O 9.688 7.888 5.820
O 9.730 5.390 8.497
O 11.308 10.147 6.608
O 8.557 6.373 3.248
O 8.833 4.393 6.461
O 6.082 0.619 3.101
O 7.660 5.376 1.212
O 7.702 2.878 3.889
O 9.485 2.955 8.323
O 12.010 7.503 7.141
O 7.520 2.049 1.213
O 9.859 6.467 1.158
O 11.853 7.903 3.687
O 10.134 3.179 3.511
O 14.283 8.562 7.427
O 12.382 4.061 6.280
O 9.931 2.697 1.133
O 13.964 9.148 3.644
O 11.364 4.515 1.913
O 13.135 8.121 1.599
```

- Which of these has the lowest calculated volume?
  ZrTaZn4

- Which formula does entry 4 have?
  Li2NiPCO7

Repeat the first record exactly.
ZrTaZn4 at its PBEsol-relaxed geometry. Source: Alexandria, functional meta-GGA SCAN. Values from VASP.

ΔH_f (0 K) = -1.41 eV/f.u.
Calculated volume = 91.0 Å³ per cell

Geometry as Quantum ESPRESSO input:
```
&SYSTEM
  ibrav = 0, nat = 6, ntyp = 3
/
ATOMIC_SPECIES
Zr 91.22 Zr.upf
Ta 180.95 Ta.upf
Zn 65.41 Zn.upf
CELL_PARAMETERS angstrom
0.000 3.571 3.571
3.571 0.000 3.571
3.571 3.571 0.000
ATOMIC_POSITIONS angstrom
Zr 0.000 0.000 0.000
Ta 5.356 5.356 5.356
Zn 2.681 2.681 2.681
Zn 4.460 4.460 2.681
Zn 4.460 2.681 4.460
Zn 2.681 4.460 4.460
```

- Among the records above, which one has the highest calculated volume?
  K4AsH5S3O16